*w*
AlPSeO2: optimized geometry, PBE.

Results
For the volume, the calculation gives 14.30 A^3/atom. The density of states at the Fermi level comes out at 1.6 states/eV per cell. As for the space group: P4/mmm (123).

abc: 3.7862 3.7862 4.9885
angles: 90.00 90.00 90.00
Fractional positions:
O1 0.0000 0.5000 0.0000
O2 0.5000 0.0000 0.0000
P1 0.0000 0.0000 0.5000
Al1 0.5000 0.5000 0.5000
Se1 0.0000 0.0000 0.0000

*x*
AlPSeO2: optimized geometry, PBE.

Results
For the volume, the calculation gives 17.36 A^3/atom. The density of states at the Fermi level comes out at 3.7 states/eV per cell. As for the space group: P4/mmm (123).

abc: 3.5252 3.5252 6.9865
angles: 90.00 90.00 90.00
Fractional positions:
O1 0.0000 0.5000 0.0000
O2 0.5000 0.0000 0.0000
P1 0.0000 0.0000 0.5000
Al1 0.0000 0.0000 0.0000
Se1 0.5000 0.5000 0.5000

Which of them is most stable? Easy: *x*.

*w*
SrAlPO2: optimized geometry, PBE.

Results
For the volume, the calculation gives 15.16 A^3/atom. The density of states at the Fermi level comes out at 3.6 states/eV per cell. As for the space group: P4/mmm (123).

abc: 4.0049 4.0049 4.7244
angles: 90.00 90.00 90.00
Site moments in Bohr magnetons follow the coordinates.
Fractional positions:
Sr1 0.5000 0.5000 0.5000  0.04
Al1 0.0000 0.0000 0.0000  0.00
O1 0.0000 0.5000 0.0000  0.28
O2 0.5000 0.0000 0.0000  0.28
P1 0.0000 0.0000 0.5000  0.33

*x*
SrAlPO2: optimized geometry, PBE.

Results
For the volume, the calculation gives 22.93 A^3/atom. The density of states at the Fermi level comes out at 6.8 states/eV per cell. As for the space group: P4/mmm (123).

abc: 4.3051 4.3051 6.1848
angles: 90.00 90.00 90.00
Site moments in Bohr magnetons follow the coordinates.
Fractional positions:
Sr1 0.0000 0.0000 0.0000  -0.06
Al1 0.5000 0.5000 0.5000  0.00
O1 0.0000 0.5000 0.0000  -0.02
O2 0.5000 0.0000 0.0000  -0.02
P1 0.0000 0.0000 0.5000  0.26

Which of them is most stable? Easy: *w*.

*w*
AlTcPO2: optimized geometry, PBE.

Results
For the volume, the calculation gives 15.43 A^3/atom. The density of states at the Fermi level comes out at 3.6 states/eV per cell. As for the space group: P4/mmm (123).

abc: 3.4775 3.4775 6.3795
angles: 90.00 90.00 90.00
Site moments in Bohr magnetons follow the coordinates.
Fractional positions:
P1 0.0000 0.0000 0.5000  -0.07
Tc1 0.5000 0.5000 0.5000  2.17
O1 0.0000 0.5000 0.0000  0.09
O2 0.5000 0.0000 0.0000  0.09
Al1 0.0000 0.0000 0.0000  0.00

*x*
AlTcPO2: optimized geometry, PBE.

Results
For the volume, the calculation gives 15.05 A^3/atom. The density of states at the Fermi level comes out at 1.5 states/eV per cell. As for the space group: P4/mmm (123).

abc: 3.7437 3.7437 5.3689
angles: 90.00 90.00 90.00
Fractional positions:
P1 0.0000 0.0000 0.5000
Tc1 0.0000 0.0000 0.0000
O1 0.0000 0.5000 0.0000
O2 0.5000 0.0000 0.0000
Al1 0.5000 0.5000 0.5000

Which of them is most stable? Easy: *x*.

*w*
TiAlP2O: optimized geometry, PBE.

Results
For the volume, the calculation gives 15.92 A^3/atom. The density of states at the Fermi level comes out at 4.4 states/eV per cell. As for the space group: P4/mmm (123).

abc: 4.8927 4.8927 3.3254
angles: 90.00 90.00 90.00
Site moments in Bohr magnetons follow the coordinates.
Fractional positions:
P1 0.0000 0.5000 0.0000  -0.02
P2 0.5000 0.0000 0.0000  -0.02
Al1 0.0000 0.0000 0.0000  0.00
O1 0.0000 0.0000 0.5000  0.00
Ti1 0.5000 0.5000 0.5000  0.28

*x*
TiAlP2O: optimized geometry, PBE.

Results
For the volume, the calculation gives 17.53 A^3/atom. The density of states at the Fermi level comes out at 4.4 states/eV per cell. As for the space group: P4/mmm (123).

abc: 4.8853 4.8853 3.6716
angles: 90.00 90.00 90.00
Fractional positions:
P1 0.0000 0.5000 0.0000
P2 0.5000 0.0000 0.0000
Al1 0.5000 0.5000 0.5000
O1 0.0000 0.0000 0.5000
Ti1 0.0000 0.0000 0.0000

Which of them is most stable? Easy: *x*.

*w*
TiAlPO2: optimized geometry, PBE.

Results
For the volume, the calculation gives 13.13 A^3/atom. The density of states at the Fermi level comes out at 2.2 states/eV per cell. As for the space group: P4/mmm (123).

abc: 3.5561 3.5561 5.1932
angles: 90.00 90.00 90.00
Site moments in Bohr magnetons follow the coordinates.
Fractional positions:
P1 0.0000 0.0000 0.5000  -0.01
Al1 0.0000 0.0000 0.0000  0.00
O1 0.0000 0.5000 0.0000  -0.05
O2 0.5000 0.0000 0.0000  -0.05
Ti1 0.5000 0.5000 0.5000  0.07

*x*
TiAlPO2: optimized geometry, PBE.

Results
For the volume, the calculation gives 14.75 A^3/atom. The density of states at the Fermi level comes out at 2.2 states/eV per cell. As for the space group: P4/mmm (123).

abc: 3.7372 3.7372 5.2795
angles: 90.00 90.00 90.00
Fractional positions:
P1 0.0000 0.0000 0.5000
Al1 0.5000 0.5000 0.5000
O1 0.0000 0.5000 0.0000
O2 0.5000 0.0000 0.0000
Ti1 0.0000 0.0000 0.0000

Which of them is most stable? Easy: *x*.

*w*
AlTlPO2: optimized geometry, PBE.

Results
For the volume, the calculation gives 18.32 A^3/atom. The density of states at the Fermi level comes out at 3.7 states/eV per cell. As for the space group: P4/mmm (123).

abc: 4.0830 4.0830 5.4952
angles: 90.00 90.00 90.00
Fractional positions:
P1 0.0000 0.0000 0.5000
Tl1 0.0000 0.0000 0.0000
Al1 0.5000 0.5000 0.5000
O1 0.0000 0.5000 0.0000
O2 0.5000 0.0000 0.0000

*x*
AlTlPO2: optimized geometry, PBE.

Results
For the volume, the calculation gives 14.92 A^3/atom. The density of states at the Fermi level comes out at 4.1 states/eV per cell. As for the space group: P4/mmm (123).

abc: 3.7191 3.7191 5.3929
angles: 90.00 90.00 90.00
Fractional positions:
P1 0.0000 0.0000 0.5000
Tl1 0.5000 0.5000 0.5000
Al1 0.0000 0.0000 0.0000
O1 0.0000 0.5000 0.0000
O2 0.5000 0.0000 0.0000

Which of them is most stable? Easy: *x*.

*w*
AlTlP2O: optimized geometry, PBE.

Results
For the volume, the calculation gives 18.06 A^3/atom. The density of states at the Fermi level comes out at 4.6 states/eV per cell. As for the space group: P4/mmm (123).

abc: 5.1346 5.1346 3.4242
angles: 90.00 90.00 90.00
Fractional positions:
P1 0.0000 0.5000 0.0000
P2 0.5000 0.0000 0.0000
Tl1 0.5000 0.5000 0.5000
Al1 0.0000 0.0000 0.0000
O1 0.0000 0.0000 0.5000

*x*
AlTlP2O: optimized geometry, PBE.

Results
For the volume, the calculation gives 21.99 A^3/atom. The density of states at the Fermi level comes out at 4.9 states/eV per cell. As for the space group: P4/mmm (123).

abc: 5.1839 4.0915 5.1839
angles: 90.00 90.00 90.00
Fractional positions:
P1 0.0000 0.0000 0.5000
P2 0.5000 0.0000 0.0000
Tl1 0.0000 0.0000 0.0000
Al1 0.5000 0.5000 0.5000
O1 0.0000 0.5000 0.0000

Which of them is most stable? Easy: *w*.